# TlCoCuCl6 | the Alexandria database | GGA-PBE | optimized geometry
data_TlCoCuCl6
_cell_length_a 6.1878
_cell_length_b 6.1878
_cell_length_c 7.0372
_cell_angle_alpha 90.00
_cell_angle_beta 90.00
_cell_angle_gamma 120.00
_space_group_name_H-M_alt 'P 3 1 2'
_space_group_IT_number 149
loop_
_space_group_symop_operation_xyz
'x,y,z'
'-y,x-y,z'
'-x+y,-x,z'
'-y,-x,-z'
'-x+y,y,-z'
'x,x-y,-z'
loop_
_atom_site_label
_atom_site_fract_x
_atom_site_fract_y
_atom_site_fract_z
Tl1 0.0000 0.0000 0.0000
Co1 0.6667 0.3333 0.5000
Cu1 0.3333 0.6667 0.5000
Cl1 0.3805 0.0223 0.6848
# DFT total energy   -30.154 eV/cell
# Formation energy without anion corrections   -0.612 eV/atom
# DOS at the Fermi energy   0.635 states/eV per atom



# NaLi6Hg2 | the Alexandria database | GGA-PBE | optimized geometry
data_NaLi6Hg2
_cell_length_a 4.195
_cell_length_b 4.195
_cell_length_c 11.151
_cell_angle_alpha 90.00
_cell_angle_beta 90.00
_cell_angle_gamma 90.00
_space_group_name_H-M_alt 'P 4/m m m'
_space_group_IT_number 123
_space_group_name_Hall '-P 4 2'
loop_
_atom_site_label
_atom_site_fract_x
_atom_site_fract_y
_atom_site_fract_z
Na1 0.000 0.000 0.000
Li1 0.000 0.000 0.500
Li2 0.000 0.500 0.295
Li3 0.500 0.500 0.500
Hg1 0.500 0.500 0.133
# DFT total energy   -14.585 eV/cell
# ΔE to the lowest computed polymorph   78 meV per atom
# DFT formation energy   -0.131 eV/atom
# DOS at the Fermi energy   0.478 states/eV per atom



- The highest DFT total energy belongs to which entry?
  NaLi6Hg2



- Which of these has the highest DOS at the Fermi energy?
  TlCoCuCl6



- Which value of DOS at the Fermi energy does entry 2 give?
  0.478 states/eV per atom